# 1
The following is a meta-GGA SCAN calculation of TlCrGa2Ni at its PBEsol-relaxed geometry, from Alexandria via LeMat-Bulk.

Cell lengths 5.079, 5.079, 4.763 Å; angles 90.00, 90.00, 90.00 degrees
Space group P4/mmm (No. 123)
One atom of each set of equivalent atoms:
Tl (0.000, 0.000, 0.000)
Cr (0.500, 0.500, 0.500)
Ga (0.000, 0.500, 0.000)
Ni (0.000, 0.000, 0.500)

calculated formation energy: 1138 meV/atom
magnetization: 4.1 μB/f.u.
calculated total energy: -26.78 eV/atom

***

# 2
The following is a meta-GGA SCAN calculation of YCrGa2Ni at its PBEsol-relaxed geometry, from Alexandria via LeMat-Bulk.

Cell lengths 4.598, 4.598, 4.681 Å; angles 90.00, 90.00, 90.00 degrees
Space group P4/mmm (No. 123)
One atom of each set of equivalent atoms:
Y (0.000, 0.000, 0.000)
Cr (0.000, 0.000, 0.500)
Ga (0.000, 0.500, 0.500)
Ni (0.500, 0.500, 0.000)

calculated formation energy: 653 meV/atom
magnetization: 2.0 μB/f.u.
calculated total energy: -18.37 eV/atom

***

# 3
The following is a meta-GGA SCAN calculation of YCr2GaNi at its PBEsol-relaxed geometry, from Alexandria via LeMat-Bulk.

Cell lengths 4.530, 4.530, 4.854 Å; angles 90.00, 90.00, 90.00 degrees
Space group P4/mmm (No. 123)
One atom of each set of equivalent atoms:
Y (0.000, 0.000, 0.000)
Cr (0.000, 0.500, 0.500)
Ga (0.500, 0.500, 0.000)
Ni (0.000, 0.000, 0.500)

calculated formation energy: 399 meV/atom
magnetization: 7.9 μB/f.u.
calculated total energy: -19.03 eV/atom